This record from Alexandria describes a geometry-optimized Na2TmWO6 structure. The functional is PBE+U.

Calculated values
Total energy ... -6.654 eV/atom
Density ... 6.2 g cm⁻³
Crystal system ... monoclinic

CIF file:
```
data_Na2TmWO6
_chemical_formula_sum 'Na4 Tm2 W2 O12'
_cell_length_a 5.681
_cell_length_b 5.794
_cell_length_c 9.900
_cell_angle_alpha 90.00
_cell_angle_beta 124.97
_cell_angle_gamma 90.00
_symmetry_space_group_name_H-M 'P 1 21/c 1'
_symmetry_Int_Tables_number 14
loop_
_symmetry_equiv_pos_as_xyz
'x,y,z'
'-x,-y,-z'
'-x,y+1/2,-z+1/2'
'x,-y+1/2,z+1/2'
loop_
_atom_site_label
_atom_site_fract_x
_atom_site_fract_y
_atom_site_fract_z
Na1 0.245 0.027 0.251
Tm1 0.500 0.000 0.000
W1 0.000 0.000 0.500
O1 0.150 0.228 0.957
O2 0.235 0.695 0.962
O3 0.312 0.022 0.733
```